1.
SiBr3 | GGA-PBE | optimized geometry

Calculated values
VASP energy = -2.27 eV per atom

Unit cell a=5.8100 b=5.8100 c=5.8100 alpha=90.00 beta=90.00 gamma=90.00
Last column: nearest neighbours and their distance in Å.
Element x y z (fractional)
1 Br 0.7500 0.5000 0.0000  2 Br 2.91, 4 Si 3.25
2 Br 0.5000 0.0000 0.7500  2 Br 2.91, 4 Si 3.25
3 Br 0.0000 0.2500 0.5000  2 Br 2.91, 4 Si 3.25
4 Si 0.0000 0.0000 0.0000  12 Br 3.25
5 Br 0.2500 0.5000 0.0000  2 Br 2.91, 4 Si 3.25
6 Br 0.5000 0.0000 0.2500  2 Br 2.91, 4 Si 3.25
7 Si 0.5000 0.5000 0.5000  12 Br 3.25
8 Br 0.0000 0.7500 0.5000  2 Br 2.91, 4 Si 3.25

---

2.
LaBe2Sb | GGA-PBE | optimized geometry

Calculated values
VASP energy = -3.93 eV per atom

Unit cell a=4.7613 b=4.7613 c=4.7613 alpha=60.00 beta=60.00 gamma=60.00
Last column: nearest neighbours and their distance in Å.
Element x y z (fractional)
1 Be 0.7500 0.7500 0.7500  4 La 2.92, 4 Sb 2.92
2 Be 0.2500 0.2500 0.2500  4 La 2.92, 4 Sb 2.92
3 La 0.5000 0.5000 0.5000  8 Be 2.92
4 Sb 0.0000 0.0000 0.0000  8 Be 2.92

---

3.
Na3Ni2H9 | GGA-PBE | optimized geometry

Calculated values
VASP energy = -3.37 eV per atom

Unit cell a=4.8514 b=4.8514 c=6.1081 alpha=90.00 beta=90.00 gamma=120.00
Last column: nearest neighbours and their distance in Å.
Element x y z (fractional)
1 Na 0.6667 0.3333 0.6484  12 H 2.45-2.56
2 H 0.3689 0.1845 0.2987  1 Ni 1.54
3 H 0.6311 0.8155 0.7013  1 Ni 1.54
4 Na 0.0000 0.0000 0.0000  12 H 2.39-2.43
5 Ni 0.3333 0.6667 0.8479  6 H 1.54-1.68
6 H 0.1845 0.3689 0.7013  1 Ni 1.54
7 Ni 0.6667 0.3333 0.1521  6 H 1.54-1.68
8 H 0.1845 0.8155 0.7013  1 Ni 1.54
9 H 0.0000 0.5000 0.0000  2 Ni 1.68
10 H 0.5000 0.0000 0.0000  2 Ni 1.68
11 H 0.8155 0.6311 0.2987  1 Ni 1.54
12 Na 0.3333 0.6667 0.3516  12 H 2.45-2.56
13 H 0.5000 0.5000 0.0000  2 Ni 1.68
14 H 0.8155 0.1845 0.2987  1 Ni 1.54

---

4.
Ba2AgSbPd6 | GGA-PBE | optimized geometry

Calculated values
VASP energy = -4.66 eV per atom

Unit cell a=6.9672 b=7.2320 c=6.9659 alpha=79.03 beta=48.28 gamma=97.57
Last column: nearest neighbours and their distance in Å.
Element x y z (fractional)
1 Pd 0.2555 0.2770 0.4959  1 Sb 2.60, 3 Pd 2.72-2.79, 1 Ag 2.75
2 Pd 0.2483 0.4058 0.8429  1 Sb 2.69, 4 Pd 2.72-2.79, 1 Ag 2.78
3 Pd 0.7445 0.7230 0.5041  1 Sb 2.60, 3 Pd 2.72-2.79, 1 Ag 2.75
4 Pd 0.2262 0.7225 0.0225  1 Sb 2.60, 3 Pd 2.72-2.79, 1 Ag 2.75
5 Pd 0.7517 0.5942 0.1571  1 Sb 2.69, 4 Pd 2.72-2.79, 1 Ag 2.78
6 Ag 0.0000 0.0000 0.0000  6 Pd 2.75-2.78
7 Ba 0.2645 0.8030 0.4611  11 Pd 3.36-3.75, 2 Ag 3.61
8 Pd 0.7738 0.2775 0.9775  1 Sb 2.60, 3 Pd 2.72-2.79, 1 Ag 2.75
9 Sb 0.5000 0.5000 0.0000  6 Pd 2.60-2.69
10 Ba 0.7355 0.1970 0.5389  11 Pd 3.36-3.75, 2 Ag 3.61

---

5.
PmMn3Ge3 | GGA-PBE | optimized geometry

Calculated values
DFT formation energy = -228 meV/atom

Unit cell a=4.0856 b=8.2830 c=8.2830 alpha=120.00 beta=90.00 gamma=90.00
Last column: nearest neighbours and their distance in Å.
Element x y z (fractional)
1 Ge 0.7500 0.9152 0.6213  4 Mn 2.43-2.51
2 Ge 0.2500 0.6213 0.7061  4 Mn 2.43-2.51
3 Ge 0.2500 0.2939 0.9152  4 Mn 2.43-2.51
4 Mn 0.2500 0.9527 0.8116  4 Ge 2.43-2.51, 6 Mn 2.44-2.48
5 Mn 0.7500 0.1411 0.9527  4 Ge 2.43-2.51, 6 Mn 2.44-2.48
6 Pm 0.7500 0.3333 0.6667  9 Ge 3.03-3.29
7 Ge 0.2500 0.0848 0.3787  4 Mn 2.43-2.51
8 Mn 0.2500 0.8589 0.0473  4 Ge 2.43-2.51, 6 Mn 2.44-2.48
9 Pm 0.2500 0.6667 0.3333  9 Ge 3.03-3.29
10 Mn 0.2500 0.1884 0.1411  4 Ge 2.43-2.51, 6 Mn 2.44-2.48
11 Ge 0.7500 0.3787 0.2939  4 Mn 2.43-2.51
12 Ge 0.7500 0.7061 0.0848  4 Mn 2.43-2.51
13 Mn 0.7500 0.0473 0.1884  4 Ge 2.43-2.51, 6 Mn 2.44-2.48
14 Mn 0.7500 0.8116 0.8589  4 Ge 2.43-2.51, 6 Mn 2.44-2.48

---

6.
Cs2LaCo | GGA-PBE | optimized geometry

Calculated values
DFT formation energy = 1334 meV/atom

Unit cell a=5.9141 b=5.9141 c=5.9141 alpha=60.00 beta=60.00 gamma=60.00
Last column: nearest neighbours and their distance in Å.
Element x y z (fractional)
1 Cs 0.7500 0.7500 0.7500  4 La 3.62, 4 Co 3.62
2 La 0.5000 0.5000 0.5000  8 Cs 3.62
3 Co 0.0000 0.0000 0.0000  8 Cs 3.62
4 Cs 0.2500 0.2500 0.2500  4 La 3.62, 4 Co 3.62